AlCuO3 | PBE | relaxed

Cell: 5.6309 5.6309 10.5273 Å, 90.00 90.00 120.00°
Last column: nearest neighbours and their distance in Å.
Positions (direct):
Al: 0.0000 0.0000 0.0000  4 O 1.86-1.89
Al: 0.0000 0.0000 0.5000  4 O 1.86-1.89
Al: 0.3333 0.6667 0.4778  7 O 1.96-2.11
Al: 0.3333 0.6667 0.9778  7 O 1.96-2.11
Al: 0.6667 0.3333 0.4778  7 O 1.96-2.11
Al: 0.6667 0.3333 0.9778  7 O 1.96-2.11
Cu: 0.0000 0.3309 0.2398  5 O 1.86-1.97
Cu: 0.0000 0.6691 0.7398  5 O 1.86-1.97
Cu: 0.3309 0.0000 0.2398  5 O 1.86-1.97
Cu: 0.3309 0.3309 0.7398  5 O 1.86-1.97
Cu: 0.6691 0.0000 0.7398  5 O 1.86-1.97
Cu: 0.6691 0.6691 0.2398  5 O 1.86-1.97
O: 0.0000 0.0000 0.1798  1 Al 1.89, 3 Cu 1.97
O: 0.0000 0.0000 0.6798  1 Al 1.89, 3 Cu 1.97
O: 0.0000 0.2902 0.4155  1 Al 1.86, 1 Cu 1.86
O: 0.0000 0.4006 0.0670  1 Cu 1.86, 2 Al 1.96
O: 0.0000 0.5994 0.5670  1 Cu 1.86, 2 Al 1.96
O: 0.0000 0.7098 0.9155  1 Al 1.86, 1 Cu 1.86
O: 0.2902 0.0000 0.4155  1 Al 1.86, 1 Cu 1.86
O: 0.2902 0.2902 0.9155  1 Al 1.86, 1 Cu 1.86
O: 0.3333 0.6667 0.2815  3 Cu 1.93, 1 Al 2.07
O: 0.3333 0.6667 0.7815  3 Cu 1.93, 1 Al 2.07
O: 0.4006 0.0000 0.0670  1 Cu 1.86, 2 Al 1.96
O: 0.4006 0.4006 0.5670  1 Cu 1.86, 2 Al 1.96
O: 0.5994 0.0000 0.5670  1 Cu 1.86, 2 Al 1.96
O: 0.5994 0.5994 0.0670  1 Cu 1.86, 2 Al 1.96
O: 0.6667 0.3333 0.2815  3 Cu 1.93, 1 Al 2.07
O: 0.6667 0.3333 0.7815  3 Cu 1.93, 1 Al 2.07
O: 0.7098 0.0000 0.9155  1 Al 1.86, 1 Cu 1.86
O: 0.7098 0.7098 0.4155  1 Al 1.86, 1 Cu 1.86

Values from the calculation:
energy relative to the elements, uncorrected = -1.5513 eV per atom
total moment = 0.00 μB/atom
total energy = -182.82 eV per cell